(1)
KHo2H PBE relaxed; space-group type = No. 166; uncorrected energy = -0.2452 Ry/atom; total magnetization = 0.390 μB per cell; calculated density = 5.38 g/cm³
1.0
3.605 0.000 0.000
1.802 3.122 0.000
1.802 1.041 10.152
Ho H K
2 1 1
Direct
0.124 0.124 0.628 Ho
0.876 0.876 0.372 Ho
0.500 0.500 0.500 H
0.000 0.000 0.000 K

(2)
LaHo3H PBE relaxed; space-group type = No. 221; uncorrected energy = -0.3351 Ry/atom; total magnetization = 0.000 μB per cell; calculated density = 8.29 g/cm³
1.0
5.029 0.000 0.000
0.000 5.029 0.000
0.000 0.000 5.029
H Ho La
1 3 1
Direct
0.000 0.000 0.000 H
0.000 0.000 0.500 Ho
0.500 0.000 0.000 Ho
0.000 0.500 0.000 Ho
0.500 0.500 0.500 La

(3)
La2HoH4 PBE relaxed; space-group type = No. 139; uncorrected energy = -0.3160 Ry/atom; total magnetization = 0.000 μB per cell; calculated density = 6.56 g/cm³
1.0
-1.637 -3.683 0.488
2.624 -1.524 -2.697
4.939 -3.910 3.959
H Ho La
4 1 2
Direct
0.500 0.000 0.000 H
0.000 0.500 0.000 H
0.161 0.161 0.678 H
0.839 0.839 0.322 H
0.000 0.000 0.000 Ho
0.663 0.663 0.674 La
0.337 0.337 0.326 La

(4)
LaHo2H8 PBE relaxed; space-group type = No. 71; uncorrected energy = -0.3186 Ry/atom; total magnetization = 0.000 μB per cell; calculated density = 7.24 g/cm³
1.0
3.532 0.000 -1.075
-0.792 4.584 -2.603
0.021 0.544 6.410
Ho H La
2 8 1
Direct
0.829 0.329 0.658 Ho
0.171 0.671 0.342 Ho
0.668 0.898 0.336 H
0.843 0.843 0.687 H
0.332 0.102 0.664 H
0.000 0.707 0.000 H
0.332 0.562 0.664 H
0.668 0.438 0.336 H
0.000 0.293 0.000 H
0.157 0.157 0.313 H
0.500 0.000 0.000 La